[1]
# Ga3PI

An optimized crystal structure of Ga3PI (PBE, Alexandria).

Cell: 5.930 5.930 5.930 Å, 90.00 90.00 90.00°
Element x y z (fractional)
Ga 0.000 0.000 0.500
Ga 0.000 0.500 0.000
Ga 0.500 0.000 0.000
P 0.500 0.500 0.500
I 0.000 0.000 0.000

Calculated values
Excess energy over the best structure of this formula in the dataset = 844 meV/atom
Spin magnetization = 1.000 Bohr magnetons per cell
DOS(E_F) = 3.0 states/eV/cell
E_form (uncorrected) = 0.99 eV per atom
Space group = No. 221

[2]
# Tb3Pm2Sm6Dy

An optimized crystal structure of Tb3Pm2Sm6Dy (PBE, Alexandria).

Cell: 6.249 6.249 11.957 Å, 94.99 94.99 119.98°
Element x y z (fractional)
Tb 0.000 0.000 0.000
Tb 0.334 0.666 0.000
Tb 0.666 0.334 0.000
Pm 0.167 0.833 0.500
Pm 0.833 0.167 0.500
Sm 0.083 0.416 0.248
Sm 0.251 0.251 0.752
Sm 0.416 0.083 0.248
Sm 0.584 0.917 0.752
Sm 0.749 0.749 0.248
Sm 0.917 0.584 0.752
Dy 0.500 0.500 0.500

Calculated values
ΔH_f (0 K) = 0.01 eV per atom
Spin magnetization = 0.000 Bohr magnetons per cell
DOS(E_F) = 15.8 states/eV/cell
Space group = No. 12

Q: What is the spin magnetization in the first record?
A: 1.000 Bohr magnetons per cell

Q: Which formula does entry 1 have?
A: Ga3PI

Q: Look up the DOS(E_F) of the second one.
A: 15.8 states/eV/cell

Q: Which formula does entry 1 have?
A: Ga3PI